(1)
Computed, not measured: Tc2TeP after structural relaxation at the PBE-GGA level of DFT.

Output
Total DFT energy (no corrections): -29.831 eV/f.u.
Offset from the most stable computed form: 0.000 eV per atom
Formation energy (no corrections): -0.55 eV per formula unit

a b c (Å): 8.258 3.196 5.355
angles (deg): 90.00 104.49 90.00
Fractional coordinates of all 8 atoms:
1 Tc 0.000 0.000 0.000
2 Tc 0.226 0.000 0.622
3 Tc 0.500 0.500 0.000
4 Tc 0.726 0.500 0.622
5 Te 0.474 0.000 0.393
6 Te 0.974 0.500 0.393
7 P 0.207 0.500 0.943
8 P 0.707 0.000 0.943


(2)
Computed, not measured: Tc2TeP after structural relaxation at the PBE-GGA level of DFT.

Output
Total DFT energy (no corrections): -29.614 eV/f.u.
Offset from the most stable computed form: 0.054 eV per atom
Formation energy (no corrections): -0.33 eV per formula unit

a b c (Å): 3.682 3.682 18.290
angles (deg): 90.00 90.00 120.00
Fractional coordinates of all 12 atoms:
1 Tc 0.000 0.000 0.220
2 Tc 0.000 0.000 0.780
3 Tc 0.333 0.667 0.447
4 Tc 0.333 0.667 0.886
5 Tc 0.667 0.333 0.114
6 Tc 0.667 0.333 0.553
7 Te 0.000 0.000 0.000
8 Te 0.333 0.667 0.667
9 Te 0.667 0.333 0.333
10 P 0.000 0.000 0.500
11 P 0.333 0.667 0.167
12 P 0.667 0.333 0.833


(3)
Computed, not measured: Tc2TeP after structural relaxation at the PBE-GGA level of DFT.

Output
Total DFT energy (no corrections): -28.183 eV/f.u.
Offset from the most stable computed form: 0.412 eV per atom
Formation energy (no corrections): 1.10 eV per formula unit

a b c (Å): 5.710 5.710 10.707
angles (deg): 90.00 90.00 90.00
Fractional coordinates of all 16 atoms:
1 Tc 0.203 0.250 0.125
2 Tc 0.250 0.703 0.375
3 Tc 0.250 0.797 0.875
4 Tc 0.297 0.250 0.625
5 Tc 0.703 0.750 0.625
6 Tc 0.750 0.203 0.875
7 Tc 0.750 0.297 0.375
8 Tc 0.797 0.750 0.125
9 Te 0.000 0.000 0.500
10 Te 0.000 0.500 0.750
11 Te 0.500 0.000 0.250
12 Te 0.500 0.500 0.000
13 P 0.000 0.000 0.000
14 P 0.000 0.500 0.250
15 P 0.500 0.000 0.750
16 P 0.500 0.500 0.500


(4)
Computed, not measured: TcTeP after structural relaxation at the PBE-GGA level of DFT.

Output
Total DFT energy (no corrections): -18.909 eV/f.u.
Offset from the most stable computed form: 0.328 eV per atom
Formation energy (no corrections): 0.01 eV per formula unit

a b c (Å): 3.351 3.351 5.925
angles (deg): 90.00 90.00 120.00
Fractional coordinates of all 3 atoms:
1 Tc 0.000 0.000 0.000
2 Te 0.333 0.667 0.338
3 P 0.667 0.333 0.766


(5)
Computed, not measured: TcTeP after structural relaxation at the PBE-GGA level of DFT.

Output
Total DFT energy (no corrections): -18.076 eV/f.u.
Offset from the most stable computed form: 0.606 eV per atom
Formation energy (no corrections): 0.84 eV per formula unit

a b c (Å): 4.185 4.185 3.711
angles (deg): 90.00 90.00 120.00
Fractional coordinates of all 3 atoms:
1 Tc 0.000 0.000 0.000
2 Te 0.333 0.667 0.442
3 P 0.667 0.333 0.966


(6)
Computed, not measured: Tc3TeP after structural relaxation at the PBE-GGA level of DFT.

Output
Total DFT energy (no corrections): -29.371 eV/f.u.
Offset from the most stable computed form: 1.513 eV per atom
Formation energy (no corrections): 10.28 eV per formula unit

a b c (Å): 4.838 4.838 4.838
angles (deg): 90.00 90.00 90.00
Fractional coordinates of all 5 atoms:
1 Tc 0.000 0.000 0.500
2 Tc 0.000 0.500 0.000
3 Tc 0.500 0.000 0.000
4 Te 0.000 0.000 0.000
5 P 0.500 0.500 0.500


(7)
Computed, not measured: Tc3TeP after structural relaxation at the PBE-GGA level of DFT.

Output
Total DFT energy (no corrections): -36.936 eV/f.u.
Offset from the most stable computed form: 0.000 eV per atom
Formation energy (no corrections): 2.71 eV per formula unit

a b c (Å): 4.461 4.461 4.461
angles (deg): 90.00 90.00 90.00
Fractional coordinates of all 5 atoms:
1 Tc 0.000 0.000 0.500
2 Tc 0.000 0.500 0.000
3 Tc 0.500 0.000 0.000
4 Te 0.500 0.500 0.500
5 P 0.000 0.000 0.000


(8)
Computed, not measured: Tc2TeP after structural relaxation at the PBE-GGA level of DFT.

Output
Total DFT energy (no corrections): -26.273 eV/f.u.
Offset from the most stable computed form: 0.889 eV per atom
Formation energy (no corrections): 3.01 eV per formula unit

a b c (Å): 6.420 6.420 6.420
angles (deg): 90.00 90.00 90.00
Fractional coordinates of all 16 atoms:
1 Tc 0.000 0.000 0.000
2 Tc 0.000 0.500 0.500
3 Tc 0.250 0.250 0.250
4 Tc 0.250 0.750 0.750
5 Tc 0.500 0.000 0.500
6 Tc 0.500 0.500 0.000
7 Tc 0.750 0.250 0.750
8 Tc 0.750 0.750 0.250
9 Te 0.250 0.250 0.750
10 Te 0.250 0.750 0.250
11 Te 0.750 0.250 0.250
12 Te 0.750 0.750 0.750
13 P 0.000 0.000 0.500
14 P 0.000 0.500 0.000
15 P 0.500 0.000 0.000
16 P 0.500 0.500 0.500


(9)
Computed, not measured: Tc2TeP after structural relaxation at the PBE-GGA level of DFT.

Output
Total DFT energy (no corrections): -29.089 eV/f.u.
Offset from the most stable computed form: 0.186 eV per atom
Formation energy (no corrections): 0.19 eV per formula unit

a b c (Å): 3.111 3.111 6.377
angles (deg): 90.00 90.00 90.00
Fractional coordinates of all 4 atoms:
1 Tc 0.000 0.000 0.218
2 Tc 0.000 0.000 0.782
3 Te 0.500 0.500 0.500
4 P 0.500 0.500 0.000


(10)
Computed, not measured: Tc2TeP after structural relaxation at the PBE-GGA level of DFT.

Output
Total DFT energy (no corrections): -26.699 eV/f.u.
Offset from the most stable computed form: 0.783 eV per atom
Formation energy (no corrections): 2.58 eV per formula unit

a b c (Å): 6.112 8.177 3.111
angles (deg): 90.00 119.78 90.00
Fractional coordinates of all 8 atoms:
1 Tc 0.250 0.250 0.000
2 Tc 0.250 0.750 0.000
3 Tc 0.750 0.250 0.000
4 Tc 0.750 0.750 0.000
5 Te 0.000 0.000 0.500
6 Te 0.500 0.500 0.500
7 P 0.000 0.500 0.500
8 P 0.500 0.000 0.500


(11)
Computed, not measured: Tc2TeP after structural relaxation at the PBE-GGA level of DFT.

Output
Total DFT energy (no corrections): -29.670 eV/f.u.
Offset from the most stable computed form: 0.040 eV per atom
Formation energy (no corrections): -0.39 eV per formula unit

a b c (Å): 3.178 3.237 13.474
angles (deg): 90.00 90.00 90.00
Fractional coordinates of all 8 atoms:
1 Tc 0.000 0.000 0.000
2 Tc 0.000 0.500 0.313
3 Tc 0.500 0.000 0.813
4 Tc 0.500 0.500 0.500
5 Te 0.000 0.000 0.616
6 Te 0.500 0.500 0.116
7 P 0.000 0.500 0.869
8 P 0.500 0.000 0.369


(12)
Computed, not measured: Tc2TeP after structural relaxation at the PBE-GGA level of DFT.

Output
Total DFT energy (no corrections): -28.451 eV/f.u.
Offset from the most stable computed form: 0.345 eV per atom
Formation energy (no corrections): 0.83 eV per formula unit

a b c (Å): 3.182 3.182 24.452
angles (deg): 90.00 90.00 120.00
Fractional coordinates of all 12 atoms:
1 Tc 0.000 0.000 0.000
2 Tc 0.000 0.000 0.243
3 Tc 0.333 0.667 0.667
4 Tc 0.333 0.667 0.910
5 Tc 0.667 0.333 0.333
6 Tc 0.667 0.333 0.576
7 Te 0.000 0.000 0.499
8 Te 0.333 0.667 0.166
9 Te 0.667 0.333 0.833
10 P 0.000 0.000 0.726
11 P 0.333 0.667 0.392
12 P 0.667 0.333 0.059


(13)
Computed, not measured: Tc2TeP after structural relaxation at the PBE-GGA level of DFT.

Output
Total DFT energy (no corrections): -28.118 eV/f.u.
Offset from the most stable computed form: 0.428 eV per atom
Formation energy (no corrections): 1.17 eV per formula unit

a b c (Å): 3.534 5.127 7.518
angles (deg): 90.00 90.00 90.00
Fractional coordinates of all 8 atoms:
1 Tc 0.000 0.000 0.196
2 Tc 0.000 0.000 0.804
3 Tc 0.500 0.500 0.304
4 Tc 0.500 0.500 0.696
5 Te 0.000 0.500 0.000
6 Te 0.500 0.000 0.500
7 P 0.000 0.500 0.500
8 P 0.500 0.000 0.000


(14)
Computed, not measured: Tc2TeP after structural relaxation at the PBE-GGA level of DFT.

Output
Total DFT energy (no corrections): -28.803 eV/f.u.
Offset from the most stable computed form: 0.257 eV per atom
Formation energy (no corrections): 0.48 eV per formula unit

a b c (Å): 6.273 6.273 6.273
angles (deg): 90.00 90.00 90.00
Fractional coordinates of all 16 atoms:
1 Tc 0.250 0.250 0.250
2 Tc 0.250 0.250 0.750
3 Tc 0.250 0.750 0.250
4 Tc 0.250 0.750 0.750
5 Tc 0.750 0.250 0.250
6 Tc 0.750 0.250 0.750
7 Tc 0.750 0.750 0.250
8 Tc 0.750 0.750 0.750
9 Te 0.000 0.000 0.000
10 Te 0.000 0.500 0.500
11 Te 0.500 0.000 0.500
12 Te 0.500 0.500 0.000
13 P 0.000 0.000 0.500
14 P 0.000 0.500 0.000
15 P 0.500 0.000 0.000
16 P 0.500 0.500 0.500


(15)
Computed, not measured: Tc4TeP after structural relaxation at the PBE-GGA level of DFT.

Output
Total DFT energy (no corrections): -45.569 eV/f.u.
Formation energy (no corrections): 4.45 eV per formula unit

a b c (Å): 5.216 5.216 5.216
angles (deg): 60.00 60.00 60.00
Fractional coordinates of all 6 atoms:
1 Tc 0.376 0.376 0.376
2 Tc 0.376 0.376 0.873
3 Tc 0.376 0.873 0.376
4 Tc 0.873 0.376 0.376
5 Te 0.000 0.000 0.000
6 P 0.750 0.750 0.750


(16)
Computed, not measured: Tc2TeP after structural relaxation at the PBE-GGA level of DFT.

Output
Total DFT energy (no corrections): -26.745 eV/f.u.
Offset from the most stable computed form: 0.772 eV per atom
Formation energy (no corrections): 2.54 eV per formula unit

a b c (Å): 3.150 4.068 5.225
angles (deg): 90.00 90.00 90.00
Fractional coordinates of all 4 atoms:
1 Tc 0.000 0.000 0.000
2 Tc 0.500 0.000 0.500
3 Te 0.000 0.500 0.500
4 P 0.500 0.500 0.000


(17)
Computed, not measured: Tc2TeP after structural relaxation at the PBE-GGA level of DFT.

Output
Total DFT energy (no corrections): -28.696 eV/f.u.
Offset from the most stable computed form: 0.284 eV per atom
Formation energy (no corrections): 0.59 eV per formula unit

a b c (Å): 4.425 4.425 3.164
angles (deg): 90.00 90.00 90.00
Fractional coordinates of all 4 atoms:
1 Tc 0.000 0.500 0.000
2 Tc 0.500 0.000 0.000
3 Te 0.000 0.000 0.500
4 P 0.500 0.500 0.500


(18)
Computed, not measured: Tc2TeP after structural relaxation at the PBE-GGA level of DFT.

Output
Total DFT energy (no corrections): -29.486 eV/f.u.
Offset from the most stable computed form: 0.086 eV per atom
Formation energy (no corrections): -0.20 eV per formula unit

a b c (Å): 3.155 4.565 4.728
angles (deg): 90.00 90.00 90.00
Fractional coordinates of all 4 atoms:
1 Tc 0.000 0.000 0.000
2 Tc 0.500 0.500 0.197
3 Te 0.000 0.500 0.704
4 P 0.500 0.000 0.364


(19)
Computed, not measured: Th6Tc2Te3P after structural relaxation at the PBE-GGA level of DFT.

Output
Total DFT energy (no corrections): -90.613 eV/f.u.
Formation energy (no corrections): -10.53 eV per formula unit

a b c (Å): 7.317 7.317 7.974
angles (deg): 98.83 98.83 119.90
Fractional coordinates of all 12 atoms:
1 Th 0.087 0.433 0.796
2 Th 0.221 0.221 0.204
3 Th 0.433 0.087 0.796
4 Th 0.567 0.913 0.204
5 Th 0.779 0.779 0.796
6 Th 0.913 0.567 0.204
7 Tc 0.168 0.832 0.000
8 Tc 0.832 0.168 0.000
9 Te 0.000 0.000 0.500
10 Te 0.337 0.663 0.500
11 Te 0.663 0.337 0.500
12 P 0.500 0.500 0.000


(20)
Computed, not measured: Th8Tc3Te3P after structural relaxation at the PBE-GGA level of DFT.

Output
Total DFT energy (no corrections): -114.294 eV/f.u.
Formation energy (no corrections): -9.00 eV per formula unit

a b c (Å): 8.457 8.457 8.892
angles (deg): 118.34 118.34 60.03
Fractional coordinates of all 15 atoms:
1 Th 0.222 0.740 0.702
2 Th 0.235 0.235 0.706
3 Th 0.260 0.260 0.298
4 Th 0.260 0.778 0.298
5 Th 0.740 0.222 0.702
6 Th 0.740 0.740 0.702
7 Th 0.765 0.765 0.294
8 Th 0.778 0.260 0.298
9 Tc 0.000 0.000 0.500
10 Tc 0.000 0.500 0.500
11 Tc 0.500 0.000 0.500
12 Te 0.000 0.500 0.000
13 Te 0.500 0.000 0.000
14 Te 0.500 0.500 0.000
15 P 0.500 0.500 0.500